# 1
Material: YLuCoRh
Method: DFT, PBE-GGA
State: optimized geometry

## Properties
space-group type: No. 216
total magnetic moment: 0.4 μB/cell
formation energy from the elements: -0.534 eV per atom
N(E_F): 2.44 states/eV/cell

```
YLuCoRh
1.0
-0.8709 -2.0331 4.1995
3.3211 0.0407 3.3907
-0.5866 2.6928 3.8642
Y Co Lu Rh
1 1 1 1
Cartesian
1.3977 0.5253 8.5908
0.9318 0.3502 5.7272
0.4659 0.1751 2.8636
0.0000 0.0000 0.0000
```

# 2
Material: Lu2CoRu
Method: DFT, PBE-GGA
State: optimized geometry

## Properties
space-group type: No. 225
total magnetic moment: 0.0 μB/cell
formation energy from the elements: -0.387 eV per atom
N(E_F): 3.16 states/eV/cell

```
Lu2CoRu
1.0
-3.6919 1.4717 2.4361
-4.2856 -0.4077 -1.7884
-2.9906 -3.0922 1.7959
Lu Co Ru
2 1 1
Cartesian
-2.7420 -0.5070 0.6109
-8.2261 -1.5211 1.8327
-5.4841 -1.0141 1.2218
0.0000 0.0000 0.0000
```

# 3
Material: Lu2CoRu
Method: DFT, PBE-GGA
State: optimized geometry

## Properties
space-group type: No. 123
total magnetic moment: 0.0 μB/cell
formation energy from the elements: -0.377 eV per atom
N(E_F): 2.19 states/eV/cell

```
Lu2CoRu
1.0
3.2977 0.0000 0.0000
0.0000 4.6600 0.0000
0.0000 0.0000 4.6600
Ru Lu Co
1 2 1
Cartesian
1.6488 0.0000 0.0000
0.0000 0.0000 2.3300
0.0000 2.3300 0.0000
1.6488 2.3300 2.3300
```

# 4
Material: LuScCoRu
Method: DFT, PBE-GGA
State: optimized geometry

## Properties
space-group type: No. 216
total magnetic moment: 0.0 μB/cell
formation energy from the elements: -0.420 eV per atom
N(E_F): 3.32 states/eV/cell

```
LuScCoRu
1.0
4.5719 0.0000 0.0000
2.2859 3.9594 0.0000
2.2859 1.3198 3.7329
Sc Ru Lu Co
1 1 1 1
Cartesian
0.0000 0.0000 0.0000
6.8578 3.9594 2.7997
4.5719 2.6396 1.8665
2.2859 1.3198 0.9332
```

- Among the records above, which one has the lowest N(E_F)?
  number 3

- Number 4 is which compound?
  LuScCoRu

Copy entry 1 word for word.
Material: YLuCoRh
Method: DFT, PBE-GGA
State: optimized geometry

## Properties
space-group type: No. 216
total magnetic moment: 0.4 μB/cell
formation energy from the elements: -0.534 eV per atom
N(E_F): 2.44 states/eV/cell

```
YLuCoRh
1.0
-0.8709 -2.0331 4.1995
3.3211 0.0407 3.3907
-0.5866 2.6928 3.8642
Y Co Lu Rh
1 1 1 1
Cartesian
1.3977 0.5253 8.5908
0.9318 0.3502 5.7272
0.4659 0.1751 2.8636
0.0000 0.0000 0.0000
```

Please write out number 3 again, unchanged.
Material: Lu2CoRu
Method: DFT, PBE-GGA
State: optimized geometry

## Properties
space-group type: No. 123
total magnetic moment: 0.0 μB/cell
formation energy from the elements: -0.377 eV per atom
N(E_F): 2.19 states/eV/cell

```
Lu2CoRu
1.0
3.2977 0.0000 0.0000
0.0000 4.6600 0.0000
0.0000 0.0000 4.6600
Ru Lu Co
1 2 1
Cartesian
1.6488 0.0000 0.0000
0.0000 0.0000 2.3300
0.0000 2.3300 0.0000
1.6488 2.3300 2.3300
```